[1]
{"formula": "KSr2Hg2Pb2", "functional": "GGA-PBE", "state": "relaxed", "formation_enthalpy_0k_ev_per_atom": -0.33, "total_energy_ev_per_atom": -2.109, "vol_a3_per_cell": 258.62, "lattice": [[2.680, 1.547, 10.397], [-2.680, 1.547, 10.397], [0.000, -3.094, 10.397]], "species": ["K", "Sr", "Sr", "Hg", "Hg", "Pb", "Pb"], "fractional_positions": [[0.000, 0.000, 0.000], [0.133, 0.133, 0.133], [0.867, 0.867, 0.867], [0.437, 0.437, 0.437], [0.563, 0.563, 0.563], [0.254, 0.254, 0.254], [0.746, 0.746, 0.746]]}

[2]
{"formula": "HoErSc", "functional": "GGA-PBE", "state": "relaxed", "de_polymorph_mev_per_atom": 0, "formation_enthalpy_0k_ev_per_atom": 0.04, "total_energy_ev_per_atom": -5.113, "vol_a3_per_cell": 85.73, "lattice": [[-1.724, 1.724, 7.213], [1.724, -1.724, 7.213], [1.724, 1.724, -7.213]], "species": ["Ho", "Er", "Sc"], "fractional_positions": [[0.000, 0.000, 0.000], [0.324, 0.324, 0.000], [0.662, 0.662, 0.000]]}

[3]
{"formula": "Hf2MgOs2", "functional": "GGA-PBE", "state": "relaxed", "formation_enthalpy_0k_ev_per_atom": -0.26, "total_energy_ev_per_atom": -9.050, "vol_a3_per_cell": 187.88, "lattice": [[7.647, 0.000, 0.000], [0.000, 7.647, 0.000], [0.000, 0.000, 3.213]], "species": ["Hf", "Hf", "Hf", "Hf", "Mg", "Mg", "Os", "Os", "Os", "Os"], "fractional_positions": [[0.151, 0.349, 0.000], [0.349, 0.849, 0.000], [0.651, 0.151, 0.000], [0.849, 0.651, 0.000], [0.000, 0.000, 0.500], [0.500, 0.500, 0.500], [0.144, 0.644, 0.500], [0.356, 0.144, 0.500], [0.644, 0.856, 0.500], [0.856, 0.356, 0.500]]}

[4]
{"formula": "Tb2NdSmTm4", "functional": "GGA-PBE", "state": "relaxed", "formation_enthalpy_0k_ev_per_atom": 0.43, "total_energy_ev_per_atom": -4.144, "vol_a3_per_cell": 526.08, "lattice": [[-3.390, 5.866, 6.613], [3.390, -5.866, 6.613], [3.390, 5.866, -6.613]], "species": ["Tb", "Tb", "Tb", "Tb", "Nd", "Nd", "Sm", "Sm", "Tm", "Tm", "Tm", "Tm", "Tm", "Tm", "Tm", "Tm"], "fractional_positions": [[0.000, 0.000, 0.000], [0.500, 0.000, 0.000], [0.500, 0.000, 0.500], [0.500, 0.500, 0.500], [0.000, 0.500, 0.500], [0.500, 0.500, 0.000], [0.000, 0.000, 0.500], [0.000, 0.500, 0.000], [0.251, 0.249, 0.002], [0.251, 0.250, 0.499], [0.251, 0.752, 0.001], [0.252, 0.751, 0.502], [0.748, 0.249, 0.498], [0.749, 0.248, 0.999], [0.749, 0.750, 0.501], [0.749, 0.751, 0.998]]}